1.
{
  "formula": "BIrC",
  "functional": "PBE-GGA",
  "state": "relaxed",
  "mass_density_g_cm3": 11.522,
  "ef_ev_per_atom": 0.51,
  "sg": "Amm2 (38)",
  "dos_at_fermi_per_ev_cell": 1.298,
  "lattice": [[2.839, 0.000, 0.000], [0.000, 1.430, 3.817], [0.000, -1.430, 3.817]],
  "species": ["B", "Ir", "C"],
  "frac_coords": [[0.000, 0.000, 0.000], [0.500, 0.217, 0.217], [0.500, 0.917, 0.917]]
}



2.
{
  "formula": "FeCuPb2",
  "functional": "PBE-GGA",
  "state": "relaxed",
  "mass_density_g_cm3": 10.025,
  "ef_ev_per_atom": 0.76,
  "sg": "F-43m (216)",
  "dos_at_fermi_per_ev_cell": 6.163,
  "lattice": [[0.000, 3.536, 3.536], [3.536, 0.000, 3.536], [3.536, 3.536, 0.000]],
  "species": ["Fe", "Cu", "Pb", "Pb"],
  "frac_coords": [[0.000, 0.000, 0.000], [0.750, 0.750, 0.750], [0.250, 0.250, 0.250], [0.500, 0.500, 0.500]]
}



3.
{
  "formula": "NaS2N",
  "functional": "PBE-GGA",
  "state": "relaxed",
  "mass_density_g_cm3": 1.659,
  "raw_formation_energy_kj_per_mol_atoms": 15,
  "sg": "R-3m (166)",
  "dos_at_fermi_per_ev_cell": 1.846,
  "lattice": [[2.339, 1.350, 5.339], [-2.339, 1.350, 5.339], [0.000, -2.701, 5.339]],
  "species": ["Na", "S", "S", "N"],
  "frac_coords": [[0.000, 0.000, 0.000], [0.402, 0.402, 0.402], [0.598, 0.598, 0.598], [0.500, 0.500, 0.500]]
}



| no. | DFT total energy (eV/cell) |
| --- | --- |
| 1 | -23.2 |
| 2 | -16.9 |
| 3 | -17.3 |